[1]
! PBE Rh2C, optimized geometry; values from VASP
&SYSTEM
  ibrav = 0, nat = 9, ntyp = 2
/
ATOMIC_SPECIES
Rh 102.91 Rh.upf
C 12.01 C.upf
CELL_PARAMETERS angstrom
-0.729 2.824 0.736
-1.618 -2.299 1.070
9.468 -0.826 12.544
ATOMIC_POSITIONS crystal
Rh 0.000 0.000 0.915
Rh 0.000 0.000 0.085
Rh 0.333 0.667 0.741
Rh 0.667 0.333 0.259
Rh 0.333 0.667 0.572
Rh 0.667 0.333 0.428
C 0.000 0.000 0.500
C 0.333 0.667 0.859
C 0.667 0.333 0.141
! Formation enthalpy at 0 K (eV per formula unit): 1.7
! ΔE to the lowest computed polymorph (meV/atom): 376.7
! SG: P-3m1, No. 164
! Crystal system: trigonal
! Size of the total moment (μB/f.u.): 0.000
! N(E_F) (states/eV/f.u.): 2.09



[2]
! PBE Th2In, optimized geometry; values from VASP
&SYSTEM
  ibrav = 0, nat = 6, ntyp = 2
/
ATOMIC_SPECIES
Th 232.04 Th.upf
In 114.82 In.upf
CELL_PARAMETERS angstrom
4.694 0.000 0.000
0.000 4.950 0.000
0.000 -2.475 7.740
ATOMIC_POSITIONS crystal
Th 0.500 0.000 0.000
Th 0.500 0.327 0.655
Th 0.000 0.500 0.000
Th 0.500 0.673 0.345
In 0.000 0.839 0.678
In 0.000 0.161 0.322
! Formation enthalpy at 0 K (eV per formula unit): -0.5
! SG: Cmmm, No. 65
! Crystal system: orthorhombic
! Size of the total moment (μB/f.u.): 0.000
! N(E_F) (states/eV/f.u.): 3.87



[3]
! PBE ZrSiTc3, optimized geometry; values from VASP
&SYSTEM
  ibrav = 0, nat = 5, ntyp = 3
/
ATOMIC_SPECIES
Si 28.09 Si.upf
Tc 98.00 Tc.upf
Zr 91.22 Zr.upf
CELL_PARAMETERS angstrom
-1.233 -4.188 0.806
0.877 -1.070 -4.219
4.174 -1.012 1.125
ATOMIC_POSITIONS crystal
Si 0.000 0.000 0.000
Tc 0.000 0.500 0.000
Tc 0.000 0.000 0.500
Tc 0.500 0.000 0.000
Zr 0.500 0.500 0.500
! ΔE to the lowest computed polymorph (meV/atom): 0.0
! SG: Pm-3m, No. 221
! Formation energy from raw total energies (eV per atom): 0.316
! Crystal system: cubic
! Size of the total moment (μB/f.u.): 1.524
! N(E_F) (states/eV/f.u.): 8.08



[4]
! PBE NaCoTe2, optimized geometry; values from VASP
&SYSTEM
  ibrav = 0, nat = 4, ntyp = 3
/
ATOMIC_SPECIES
Na 22.99 Na.upf
Te 127.60 Te.upf
Co 58.93 Co.upf
CELL_PARAMETERS angstrom
0.000 3.546 3.546
3.546 0.000 3.546
3.546 3.546 0.000
ATOMIC_POSITIONS crystal
Na 0.000 0.000 0.000
Te 0.250 0.250 0.250
Te 0.750 0.750 0.750
Co 0.500 0.500 0.500
! SG: Fm-3m, No. 225
! Formation energy from raw total energies (eV per atom): 0.126
! Crystal system: cubic
! Size of the total moment (μB/f.u.): 1.990
! N(E_F) (states/eV/f.u.): 3.12



[5]
! PBE PmBi2Rh, optimized geometry; values from VASP
&SYSTEM
  ibrav = 0, nat = 4, ntyp = 3
/
ATOMIC_SPECIES
Rh 102.91 Rh.upf
Bi 208.98 Bi.upf
Pm 145.00 Pm.upf
CELL_PARAMETERS angstrom
-3.140 2.978 0.302
-1.127 -0.721 -4.611
-3.116 -3.416 1.295
ATOMIC_POSITIONS crystal
Rh 0.500 0.000 0.000
Bi 0.000 0.000 0.500
Bi 0.000 0.500 0.000
Pm 0.500 0.500 0.500
! Formation enthalpy at 0 K (eV per formula unit): -1.2
! ΔE to the lowest computed polymorph (meV/atom): 255.1
! SG: P4/mmm, No. 123
! Crystal system: tetragonal
! Size of the total moment (μB/f.u.): 0.000
! N(E_F) (states/eV/f.u.): 3.73



[6]
! PBE K2Ba5Sb3O2, optimized geometry; values from VASP
&SYSTEM
  ibrav = 0, nat = 12, ntyp = 4
/
ATOMIC_SPECIES
K 39.10 K.upf
Ba 137.33 Ba.upf
Sb 121.76 Sb.upf
O 16.00 O.upf
CELL_PARAMETERS angstrom
5.382 0.000 0.000
0.000 5.382 0.000
-2.691 -2.691 15.387
ATOMIC_POSITIONS crystal
K 0.711 0.711 0.422
K 0.289 0.289 0.578
Ba 0.598 0.098 0.197
Ba 0.402 0.902 0.803
Ba 0.098 0.598 0.197
Ba 0.902 0.402 0.803
Ba 0.500 0.500 0.000
Sb 0.173 0.173 0.345
Sb 0.827 0.827 0.655
Sb 0.000 0.000 0.000
O 0.415 0.415 0.830
O 0.585 0.585 0.170
! SG: I4/mmm, No. 139
! Formation energy from raw total energies (eV per atom): -1.336
! Crystal system: tetragonal
! Size of the total moment (μB/f.u.): 0.002
! N(E_F) (states/eV/f.u.): 9.52